# 1
Entry from the Alexandria database: a relaxed structure of Ac12Hg3Ir5 (PBE).

The structure in POSCAR format:
```
Ac12Hg3Ir5
1.0
-9.199 9.199 9.199
9.199 -9.199 9.199
9.199 9.199 -9.199
Ac Hg Ir
48 12 20
direct
0.031 0.208 0.122
0.031 0.323 0.908
0.085 0.708 0.677
0.085 0.878 0.408
0.092 0.622 0.415
0.092 0.969 0.677
0.122 0.031 0.208
0.122 0.592 0.915
0.177 0.208 0.585
0.177 0.469 0.592
0.208 0.122 0.031
0.208 0.585 0.177
0.292 0.323 0.915
0.292 0.469 0.378
0.323 0.908 0.031
0.323 0.915 0.292
0.378 0.292 0.469
0.378 0.585 0.908
0.408 0.085 0.878
0.408 0.823 0.531
0.415 0.092 0.622
0.415 0.823 0.792
0.469 0.378 0.292
0.469 0.592 0.177
0.531 0.408 0.823
0.531 0.622 0.708
0.585 0.177 0.208
0.585 0.908 0.378
0.592 0.177 0.469
0.592 0.915 0.122
0.622 0.415 0.092
0.622 0.708 0.531
0.677 0.085 0.708
0.677 0.092 0.969
0.708 0.531 0.622
0.708 0.677 0.085
0.792 0.415 0.823
0.792 0.878 0.969
0.823 0.531 0.408
0.823 0.792 0.415
0.878 0.408 0.085
0.878 0.969 0.792
0.908 0.031 0.323
0.908 0.378 0.585
0.915 0.122 0.592
0.915 0.292 0.323
0.969 0.677 0.092
0.969 0.792 0.878
0.125 0.250 0.375
0.125 0.375 0.750
0.250 0.375 0.125
0.250 0.875 0.625
0.375 0.125 0.250
0.375 0.750 0.125
0.625 0.250 0.875
0.625 0.875 0.750
0.750 0.125 0.375
0.750 0.625 0.875
0.875 0.625 0.250
0.875 0.750 0.625
0.000 0.000 0.000
0.000 0.000 0.500
0.000 0.500 0.000
0.000 0.500 0.500
0.125 0.750 0.875
0.125 0.875 0.250
0.250 0.125 0.875
0.250 0.625 0.375
0.375 0.250 0.625
0.375 0.625 0.750
0.500 0.000 0.000
0.500 0.000 0.500
0.500 0.500 0.000
0.500 0.500 0.500
0.625 0.375 0.250
0.625 0.750 0.375
0.750 0.375 0.625
0.750 0.875 0.125
0.875 0.125 0.750
0.875 0.250 0.125
```

Values from the calculation:
Its symmetry is Ia-3d. The calculation puts the energy of formation at -0.346 eV per atom. The calculation puts the density of states at the Fermi level at 61.76 states/eV per cell. The mass density comes out at 9.15 g/cm3. The total magnetization comes out at 0.00 μB/cell.

# 2
Entry from the Alexandria database: a relaxed structure of Ba2SeI (PBE).

The structure in POSCAR format:
```
Ba2SeI
1.0
2.379 1.374 8.214
-2.379 1.374 8.214
0.000 -2.747 8.214
Ba Se I
2 1 1
direct
0.238 0.238 0.238
0.762 0.762 0.762
0.500 0.500 0.500
0.000 0.000 0.000
```

Values from the calculation:
Its symmetry is R-3m. The calculation puts the density of states at the Fermi level at 1.74 states/eV per cell. The mass density comes out at 4.95 g/cm3. The calculation puts the electronic total energy at -3.93 eV per atom. The total magnetization comes out at 0.00 μB/cell.